DFT (PBE) results for a relaxed structure of Dy2Er2TmSc2.

Properties
**Energy of formation from the pure elements**: 108 meV per atom

Unit cell a=3.3951 b=5.8599 c=11.4348 alpha=71.94 beta=90.00 gamma=106.84
With the nearest neighbours (Å) after each atom.
Sites, in units of the cell vectors:
Tm1 0.0000 0.0000 0.5000  6 Sc 3.37-3.40, 4 Er 3.39, 2 Tm 3.40
Sc1 0.2275 0.4550 0.6338  3 Er 3.34-3.42, 3 Tm 3.37-3.40, 4 Sc 3.39-3.40, 2 Dy 3.48
Dy1 0.3293 0.6586 0.0876  4 Er 3.37-3.49, 5 Dy 3.40-3.70, 2 Sc 3.48
Er1 0.4519 0.9037 0.7679  3 Sc 3.34-3.42, 4 Dy 3.37-3.49, 2 Tm 3.39, 2 Er 3.40
Sc2 0.7725 0.5450 0.3662  3 Er 3.34-3.42, 3 Tm 3.37-3.40, 4 Sc 3.39-3.40, 2 Dy 3.48
Dy2 0.6707 0.3414 0.9124  4 Er 3.37-3.49, 5 Dy 3.40-3.70, 2 Sc 3.48
Er2 0.5481 0.0963 0.2321  3 Sc 3.34-3.42, 4 Dy 3.37-3.49, 2 Tm 3.39, 2 Er 3.40